(1)
Cs5U3S12, optimized geometry, DFT PBE; formation energy from raw total energies = -1197 meV/atom; spin magnetization = 0.01 μB per formula unit; mass density = 4.1 g/cm3
1.0
4.1529 0.0000 0.0000
0.0000 12.1477 -7.0135
0.0000 0.0000 14.0269
Cs U S
5 3 12
direct
0.0000 0.3333 0.6667
0.0000 0.6667 0.3333
0.0000 0.2814 0.0000
0.0000 0.7186 0.7186
0.0000 0.0000 0.2814
0.5000 0.6635 0.0000
0.5000 0.3365 0.3365
0.5000 0.0000 0.6635
0.0000 0.7802 0.0000
0.0000 0.2198 0.2198
0.0000 0.0000 0.7802
0.0000 0.5470 0.0000
0.0000 0.4530 0.4530
0.0000 0.0000 0.5470
0.5000 0.2310 0.4317
0.5000 0.2007 0.7690
0.5000 0.7690 0.2007
0.5000 0.5683 0.7993
0.5000 0.7993 0.5683
0.5000 0.4317 0.2310

=====

(2)
TbNd2Bi2, optimized geometry, DFT PBE; calculated formation energy = -0.63 eV per atom; spin magnetization = 0.00 μB per formula unit; mass density = 8.3 g/cm3
1.0
-3.7612 4.0326 3.4199
-6.9813 -5.0478 -1.7260
6.4746 -2.7445 4.2013
Tb Nd Bi
2 4 4
direct
0.7500 0.5000 0.0000
0.2500 0.5000 0.0000
0.8484 0.7040 0.6969
0.1516 0.2960 0.3031
0.6516 0.0072 0.3031
0.3484 0.9928 0.6969
0.3916 0.6723 0.7832
0.6084 0.3277 0.2168
0.1084 0.8891 0.2168
0.8916 0.1109 0.7832

=====

Q: Which value of mass density does entry 2 give?
A: 8.3 g/cm3

=====

What did the first record say?
Cs5U3S12, optimized geometry, DFT PBE; formation energy from raw total energies = -1197 meV/atom; spin magnetization = 0.01 μB per formula unit; mass density = 4.1 g/cm3
1.0
4.1529 0.0000 0.0000
0.0000 12.1477 -7.0135
0.0000 0.0000 14.0269
Cs U S
5 3 12
direct
0.0000 0.3333 0.6667
0.0000 0.6667 0.3333
0.0000 0.2814 0.0000
0.0000 0.7186 0.7186
0.0000 0.0000 0.2814
0.5000 0.6635 0.0000
0.5000 0.3365 0.3365
0.5000 0.0000 0.6635
0.0000 0.7802 0.0000
0.0000 0.2198 0.2198
0.0000 0.0000 0.7802
0.0000 0.5470 0.0000
0.0000 0.4530 0.4530
0.0000 0.0000 0.5470
0.5000 0.2310 0.4317
0.5000 0.2007 0.7690
0.5000 0.7690 0.2007
0.5000 0.5683 0.7993
0.5000 0.7993 0.5683
0.5000 0.4317 0.2310

=====

What did the first record say?
Cs5U3S12, optimized geometry, DFT PBE; formation energy from raw total energies = -1197 meV/atom; spin magnetization = 0.01 μB per formula unit; mass density = 4.1 g/cm3
1.0
4.1529 0.0000 0.0000
0.0000 12.1477 -7.0135
0.0000 0.0000 14.0269
Cs U S
5 3 12
direct
0.0000 0.3333 0.6667
0.0000 0.6667 0.3333
0.0000 0.2814 0.0000
0.0000 0.7186 0.7186
0.0000 0.0000 0.2814
0.5000 0.6635 0.0000
0.5000 0.3365 0.3365
0.5000 0.0000 0.6635
0.0000 0.7802 0.0000
0.0000 0.2198 0.2198
0.0000 0.0000 0.7802
0.0000 0.5470 0.0000
0.0000 0.4530 0.4530
0.0000 0.0000 0.5470
0.5000 0.2310 0.4317
0.5000 0.2007 0.7690
0.5000 0.7690 0.2007
0.5000 0.5683 0.7993
0.5000 0.7993 0.5683
0.5000 0.4317 0.2310

=====

Q: Number 2 is which compound?
A: TbNd2Bi2